P | A plane-wave DFT calculation with GGA-PBE was carried out for a geometry-optimized Ti3WI structure.

Lattice parameters (Å, degrees): 4.828 4.828 4.828 90.00 90.00 90.00
Fractional coordinates of all 5 atoms:
I: 0.000 0.000 0.000
W: 0.500 0.500 0.500
Ti: 0.000 0.500 0.000
Ti: 0.000 0.000 0.500
Ti: 0.500 0.000 0.000

Values from the calculation:
N(E_F)   8.9 states/eV/cell

=====

Q | A plane-wave DFT calculation with GGA-PBE was carried out for a geometry-optimized Ti3WI structure.

Lattice parameters (Å, degrees): 4.891 4.891 4.891 90.00 90.00 90.00
Fractional coordinates of all 5 atoms:
I: 0.500 0.500 0.500
W: 0.000 0.000 0.000
Ti: 0.000 0.500 0.000
Ti: 0.000 0.000 0.500
Ti: 0.500 0.000 0.000

Values from the calculation:
N(E_F)   7.3 states/eV/cell

=====

Relative stability in meV per atom, measured from the most stable structure: P 661; Q 0

=====

P | A plane-wave DFT calculation with GGA-PBE was carried out for a geometry-optimized Ti2W2I structure.

Lattice parameters (Å, degrees): 7.816 7.816 3.245 90.00 90.00 90.00
Fractional coordinates of all 10 atoms:
I: 0.000 0.000 0.000
I: 0.500 0.500 0.000
W: 0.105 0.605 0.500
W: 0.605 0.895 0.500
W: 0.895 0.395 0.500
W: 0.395 0.105 0.500
Ti: 0.319 0.819 0.000
Ti: 0.819 0.681 0.000
Ti: 0.681 0.181 0.000
Ti: 0.181 0.319 0.000

Values from the calculation:
N(E_F)   15.8 states/eV/cell

=====

Q | A plane-wave DFT calculation with GGA-PBE was carried out for a geometry-optimized Ti2W2I structure.

Lattice parameters (Å, degrees): 3.708 3.708 8.366 77.20 77.20 90.00
Fractional coordinates of all 5 atoms:
I: 0.000 0.000 0.000
W: 0.750 0.250 0.500
W: 0.250 0.750 0.500
Ti: 0.377 0.377 0.246
Ti: 0.623 0.623 0.754

Values from the calculation:
N(E_F)   4.8 states/eV/cell

=====

Relative stability in meV per atom, measured from the most stable structure: P 206; Q 0

=====

P | A plane-wave DFT calculation with GGA-PBE was carried out for a geometry-optimized Y2TiI structure.

Lattice parameters (Å, degrees): 8.460 8.460 6.811 51.60 51.60 90.00
Fractional coordinates of all 8 atoms:
I: 0.000 0.000 0.000
I: 0.750 0.250 0.500
Y: 0.637 0.125 0.250
Y: 0.113 0.625 0.250
Y: 0.375 0.363 0.750
Y: 0.875 0.887 0.750
Ti: 0.500 0.500 0.000
Ti: 0.250 0.750 0.500

Values from the calculation:
N(E_F)   9.7 states/eV/cell

=====

Q | A plane-wave DFT calculation with GGA-PBE was carried out for a geometry-optimized Y2TiI structure.

Lattice parameters (Å, degrees): 5.372 5.372 5.372 60.00 60.00 60.00
Fractional coordinates of all 4 atoms:
I: 0.500 0.500 0.500
Y: 0.250 0.250 0.250
Y: 0.750 0.750 0.750
Ti: 0.000 0.000 0.000

Values from the calculation:
N(E_F)   4.8 states/eV/cell

=====

Relative stability in meV per atom, measured from the most stable structure: P 114; Q 0

=====

P | A plane-wave DFT calculation with GGA-PBE was carried out for a geometry-optimized Y3TiI structure.

Lattice parameters (Å, degrees): 5.522 5.522 5.522 90.00 90.00 90.00
Fractional coordinates of all 5 atoms:
I: 0.500 0.500 0.500
Y: 0.000 0.500 0.000
Y: 0.000 0.000 0.500
Y: 0.500 0.000 0.000
Ti: 0.000 0.000 0.000

Values from the calculation:
N(E_F)   4.4 states/eV/cell

=====

Q | A plane-wave DFT calculation with GGA-PBE was carried out for a geometry-optimized Y3TiI structure.

Lattice parameters (Å, degrees): 5.565 5.565 5.565 90.00 90.00 90.00
Fractional coordinates of all 5 atoms:
I: 0.000 0.000 0.000
Y: 0.000 0.500 0.000
Y: 0.000 0.000 0.500
Y: 0.500 0.000 0.000
Ti: 0.500 0.500 0.500

Values from the calculation:
N(E_F)   3.6 states/eV/cell

=====

Relative stability in meV per atom, measured from the most stable structure: P 0; Q 178

=====

P | A plane-wave DFT calculation with GGA-PBE was carried out for a geometry-optimized TiZnI2 structure.

Lattice parameters (Å, degrees): 8.686 8.686 7.461 54.40 54.40 90.00
Fractional coordinates of all 8 atoms:
I: 0.532 0.125 0.250
I: 0.218 0.625 0.250
I: 0.375 0.468 0.750
I: 0.875 0.782 0.750
Zn: 0.000 0.000 0.000
Zn: 0.750 0.250 0.500
Ti: 0.500 0.500 0.000
Ti: 0.250 0.750 0.500

Values from the calculation:
N(E_F)   0.8 states/eV/cell

=====

Q | A plane-wave DFT calculation with GGA-PBE was carried out for a geometry-optimized TiZnI2 structure.

Lattice parameters (Å, degrees): 5.273 5.273 5.273 60.00 60.00 60.00
Fractional coordinates of all 4 atoms:
I: 0.250 0.250 0.250
I: 0.750 0.750 0.750
Zn: 0.500 0.500 0.500
Ti: 0.000 0.000 0.000

Values from the calculation:
N(E_F)   0.5 states/eV/cell

=====

Relative stability in meV per atom, measured from the most stable structure: P 0; Q 168

=====

P | A plane-wave DFT calculation with GGA-PBE was carried out for a geometry-optimized Ti2ZnI structure.

Lattice parameters (Å, degrees): 4.708 4.708 4.708 60.00 60.00 60.00
Fractional coordinates of all 4 atoms:
I: 0.500 0.500 0.500
Zn: 0.000 0.000 0.000
Ti: 0.250 0.250 0.250
Ti: 0.750 0.750 0.750

Values from the calculation:
N(E_F)   5.7 states/eV/cell

=====

Q | A plane-wave DFT calculation with GGA-PBE was carried out for a geometry-optimized Ti2ZnI structure.

Lattice parameters (Å, degrees): 5.685 5.685 7.673 68.25 68.25 90.00
Fractional coordinates of all 8 atoms:
I: 0.000 0.000 0.000
I: 0.750 0.250 0.500
Zn: 0.500 0.500 0.000
Zn: 0.250 0.750 0.500
Ti: 0.568 0.125 0.250
Ti: 0.182 0.625 0.250
Ti: 0.375 0.432 0.750
Ti: 0.875 0.818 0.750

Values from the calculation:
N(E_F)   9.1 states/eV/cell

=====

Relative stability in meV per atom, measured from the most stable structure: P 0; Q 411

=====

P | A plane-wave DFT calculation with GGA-PBE was carried out for a geometry-optimized ZrTi2I6 structure.

Lattice parameters (Å, degrees): 7.275 9.903 9.903 83.71 81.81 81.81
Fractional coordinates of all 18 atoms:
Zr: 0.250 0.076 0.924
Zr: 0.750 0.924 0.076
Ti: 0.204 0.594 0.775
Ti: 0.296 0.225 0.406
Ti: 0.796 0.406 0.225
Ti: 0.704 0.775 0.594
I: 0.370 0.713 0.537
I: 0.130 0.463 0.287
I: 0.630 0.287 0.463
I: 0.870 0.537 0.713
I: 0.873 0.890 0.350
I: 0.627 0.650 0.110
I: 0.127 0.110 0.650
I: 0.373 0.350 0.890
I: 0.133 0.793 0.966
I: 0.367 0.034 0.207
I: 0.867 0.207 0.034
I: 0.633 0.966 0.793

Values from the calculation:
N(E_F)   11.4 states/eV/cell

=====

Q | A plane-wave DFT calculation with GGA-PBE was carried out for a geometry-optimized ZrTi2I6 structure.

Lattice parameters (Å, degrees): 3.823 8.664 11.189 121.03 90.00 102.75
Fractional coordinates of all 9 atoms:
Zr: 0.000 0.000 0.500
Ti: 0.641 0.281 0.786
Ti: 0.359 0.719 0.214
I: 0.291 0.581 0.897
I: 0.709 0.419 0.103
I: 0.982 0.964 0.219
I: 0.651 0.301 0.550
I: 0.018 0.036 0.781
I: 0.349 0.699 0.450

Values from the calculation:
N(E_F)   5.0 states/eV/cell

=====

Relative stability in meV per atom, measured from the most stable structure: P 252; Q 0

=====

P | A plane-wave DFT calculation with GGA-PBE was carried out for a geometry-optimized TlI2 structure.

Lattice parameters (Å, degrees): 4.821 9.161 15.071 90.00 119.24 90.00
Fractional coordinates of all 12 atoms:
Tl: 0.678 0.183 0.698
Tl: 0.822 0.683 0.802
Tl: 0.322 0.817 0.302
Tl: 0.178 0.317 0.198
I: 0.139 0.904 0.679
I: 0.361 0.404 0.821
I: 0.861 0.096 0.321
I: 0.639 0.596 0.179
I: 0.813 0.127 0.952
I: 0.687 0.627 0.548
I: 0.187 0.873 0.048
I: 0.313 0.373 0.452

=====

Q | A plane-wave DFT calculation with GGA-PBE was carried out for a geometry-optimized TlI2 structure.

Lattice parameters (Å, degrees): 5.765 5.765 7.589 127.52 127.52 86.42
Fractional coordinates of all 3 atoms:
I: 0.117 0.117 0.306
I: 0.883 0.883 0.694
Tl: 0.500 0.500 0.000

Values from the calculation:
N(E_F)   0.8 states/eV/cell

=====

R | A plane-wave DFT calculation with GGA-PBE was carried out for a geometry-optimized TlI2 structure.

Lattice parameters (Å, degrees): 4.646 4.646 6.465 90.00 90.00 90.00
Fractional coordinates of all 3 atoms:
Tl: 0.000 0.000 0.000
I: 0.500 0.500 0.252
I: 0.500 0.500 0.748

Values from the calculation:
N(E_F)   1.4 states/eV/cell

=====

Relative stability in meV per atom, measured from the most stable structure: P 0; Q 135; R 8

=====

P | A plane-wave DFT calculation with GGA-PBE was carried out for a geometry-optimized Tl2I3 structure.

Lattice parameters (Å, degrees): 6.652 6.652 10.321 108.80 108.80 90.00
Fractional coordinates of all 10 atoms:
Tl: 0.954 0.954 0.908
Tl: 0.704 0.204 0.408
Tl: 0.561 0.561 0.122
Tl: 0.311 0.811 0.622
I: 0.132 0.882 0.265
I: 0.132 0.382 0.765
I: 0.632 0.382 0.765
I: 0.132 0.382 0.265
I: 0.507 0.007 0.015
I: 0.757 0.757 0.515

Values from the calculation:
N(E_F)   3.9 states/eV/cell

=====

Q | A plane-wave DFT calculation with GGA-PBE was carried out for a geometry-optimized Tl2I3 structure.

Lattice parameters (Å, degrees): 8.184 8.184 9.161 63.47 63.47 60.00
Fractional coordinates of all 10 atoms:
I: 0.075 0.750 0.750
I: 0.750 0.425 0.750
I: 0.425 0.075 0.750
I: 0.250 0.575 0.250
I: 0.575 0.925 0.250
I: 0.925 0.250 0.250
Tl: 0.839 0.839 0.482
Tl: 0.339 0.339 0.982
Tl: 0.161 0.161 0.518
Tl: 0.661 0.661 0.018

Values from the calculation:
N(E_F)   8.1 states/eV/cell

=====

Relative stability in meV per atom, measured from the most stable structure: P 0; Q 38

=====

P | A plane-wave DFT calculation with GGA-PBE was carried out for a geometry-optimized TmTl2I5 structure.

Lattice parameters (Å, degrees): 8.422 8.422 8.964 118.04 118.04 89.99
Fractional coordinates of all 8 atoms:
Tm: 0.987 0.987 0.973
Tl: 0.173 0.673 0.346
Tl: 0.673 0.173 0.346
I: 0.801 0.284 0.085
I: 0.283 0.283 0.084
I: 0.801 0.801 0.085
I: 0.283 0.801 0.084
I: 0.775 0.775 0.551

Values from the calculation:
N(E_F)   0.0 states/eV/cell

=====

Q | A plane-wave DFT calculation with GGA-PBE was carried out for a geometry-optimized TmTl2I5 structure.

Lattice parameters (Å, degrees): 8.379 10.209 10.796 64.45 67.17 65.77
Fractional coordinates of all 16 atoms:
Tm: 0.951 0.784 0.314
Tm: 0.951 0.284 0.814
Tl: 0.632 0.477 0.318
Tl: 0.269 0.090 0.312
Tl: 0.573 0.977 0.818
Tl: 0.329 0.590 0.812
I: 0.694 0.312 0.671
I: 0.038 0.549 0.183
I: 0.208 0.255 0.958
I: 0.323 0.812 0.171
I: 0.230 0.049 0.683
I: 0.579 0.755 0.458
I: 0.673 0.518 0.946
I: 0.863 0.018 0.446
I: 0.796 0.034 0.064
I: 0.106 0.534 0.564

Values from the calculation:
N(E_F)   0.0 states/eV/cell

=====

Relative stability in meV per atom, measured from the most stable structure: P 37; Q 0

=====

P | A plane-wave DFT calculation with GGA-PBE was carried out for a geometry-optimized Tm2TlI structure.

Lattice parameters (Å, degrees): 4.437 4.437 8.030 73.96 73.96 60.00
Fractional coordinates of all 4 atoms:
Tm: 0.066 0.066 0.802
Tm: 0.269 0.269 0.192
Tl: 0.669 0.669 0.993
I: 0.496 0.496 0.513

Values from the calculation:
N(E_F)   2.9 states/eV/cell

=====

Q | A plane-wave DFT calculation with GGA-PBE was carried out for a geometry-optimized Tm2TlI structure.

Lattice parameters (Å, degrees): 4.472 4.472 7.702 73.12 73.12 60.00
Fractional coordinates of all 4 atoms:
I: 0.500 0.500 0.500
Tl: 0.000 0.000 0.000
Tm: 0.266 0.266 0.202
Tm: 0.734 0.734 0.798

Values from the calculation:
N(E_F)   2.1 states/eV/cell

=====

Relative stability in meV per atom, measured from the most stable structure: P 60; Q 0

=====

P | A plane-wave DFT calculation with GGA-PBE was carried out for a geometry-optimized U2TlI8 structure.

Lattice parameters (Å, degrees): 8.195 9.808 9.808 59.87 82.99 82.99
Fractional coordinates of all 11 atoms:
U: 0.637 0.816 0.816
U: 0.363 0.184 0.184
Tl: 0.000 0.000 0.000
I: 0.248 0.325 0.867
I: 0.752 0.133 0.675
I: 0.277 0.819 0.819
I: 0.723 0.181 0.181
I: 0.248 0.867 0.325
I: 0.752 0.675 0.133
I: 0.778 0.649 0.649
I: 0.222 0.351 0.351

Values from the calculation:
N(E_F)   19.5 states/eV/cell

=====

Q | A plane-wave DFT calculation with GGA-PBE was carried out for a geometry-optimized U2TlI8 structure.

Lattice parameters (Å, degrees): 6.201 10.632 10.633 120.00 90.00 90.00
Fractional coordinates of all 11 atoms:
I: 0.249 0.667 0.333
I: 0.751 0.333 0.667
I: 0.742 0.825 0.173
I: 0.258 0.173 0.347
I: 0.258 0.653 0.825
I: 0.258 0.175 0.827
I: 0.742 0.827 0.653
I: 0.742 0.347 0.175
Tl: 0.000 0.000 0.000
U: 0.242 0.333 0.667
U: 0.758 0.667 0.333

Values from the calculation:
N(E_F)   19.7 states/eV/cell

=====

Relative stability in meV per atom, measured from the most stable structure: P 24; Q 0